[1]
Density functional theory data (PBE-GGA) for a geometry-optimized TmHPd3 structure.

Structure (POSCAR):
```
TmHPd3
1.0
4.121 0.000 0.000
0.000 4.121 0.000
0.000 0.000 4.121
Tm H Pd
1 1 3
Direct
0.000 0.000 0.000
0.500 0.500 0.500
0.000 0.500 0.500
0.500 0.000 0.500
0.500 0.500 0.000
```

Properties
The value obtained for the total energy is -27.2 eV/cell. The total magnetization comes out at 0.00 μB per formula unit.

---

[2]
Density functional theory data (PBE-GGA) for a geometry-optimized Tm2H6Pd structure.

Structure (POSCAR):
```
Tm2H6Pd
1.0
0.000 3.460 3.460
3.460 0.000 3.460
3.460 3.460 0.000
Tm H Pd
2 6 1
Direct
0.250 0.250 0.250
0.750 0.750 0.750
0.232 0.232 0.768
0.232 0.768 0.232
0.232 0.768 0.768
0.768 0.232 0.232
0.768 0.232 0.768
0.768 0.768 0.232
0.500 0.500 0.500
```

Properties
The value obtained for the total energy is -37.5 eV/cell. The total magnetization comes out at 0.00 μB per formula unit.